VASP calculation (GGA-PBE) on a relaxed AgMo4Os crystal.

Cell lengths 5.178, 5.178, 5.178 Å; angles 60.00, 60.00, 60.00 degrees
Positions (direct):
Ag  0.000  0.000  0.000
Mo  0.626  0.626  0.121
Mo  0.626  0.121  0.626
Mo  0.626  0.626  0.626
Mo  0.121  0.626  0.626
Os  0.250  0.250  0.250

Results
Its size of the total moment is 0.00 Bohr magnetons per cell. For the energy relative to the elements, the calculation gives 0.491 eV/atom. The space-group type is F-43m.

---

VASP calculation (GGA-PBE) on a relaxed TiV2B6 crystal.

Cell lengths 3.090, 5.213, 5.213 Å; angles 120.00, 90.00, 90.00 degrees
Positions (direct):
Ti  0.000  0.000  0.000
V  0.000  0.333  0.667
V  0.000  0.667  0.333
B  0.500  0.335  0.335
B  0.500  0.665  0.665
B  0.500  0.000  0.665
B  0.500  0.665  0.000
B  0.500  0.335  0.000
B  0.500  0.000  0.335

Results
Its size of the total moment is 0.00 Bohr magnetons per cell. For the energy relative to the elements, the calculation gives -0.843 eV/atom. The space-group type is P6/mmm.

---

VASP calculation (GGA-PBE) on a relaxed K2NbHgS4 crystal.

Cell lengths 6.827, 6.827, 6.827 Å; angles 105.43, 111.53, 111.53 degrees
Positions (direct):
K  0.500  0.750  0.250
K  0.000  0.000  0.000
Nb  0.000  0.500  0.500
Hg  0.500  0.250  0.750
S  0.648  0.460  0.497
S  0.037  0.188  0.540
S  0.963  0.503  0.151
S  0.352  0.849  0.812

Results
For the uncorrected energy, the calculation gives -4.50 eV/atom. Its size of the total moment is 0.00 Bohr magnetons per cell. The space-group type is I-4.

---

VASP calculation (GGA-PBE) on a relaxed ScAl3Rh crystal.

Cell lengths 4.640, 4.640, 4.640 Å; angles 90.00, 90.00, 90.00 degrees
Positions (direct):
Sc  0.500  0.500  0.500
Rh  0.000  0.000  0.000
Al  0.000  0.500  0.000
Al  0.000  0.000  0.500
Al  0.500  0.000  0.000

Results
Its size of the total moment is 0.00 Bohr magnetons per cell. For the energy relative to the elements, the calculation gives -0.268 eV/atom. For the distance to the lowest polymorph of the same formula, the calculation gives 396 meV/atom. The space-group type is Pm-3m.

---

VASP calculation (GGA-PBE) on a relaxed La4In3Pd crystal.

Cell lengths 3.712, 3.712, 16.976 Å; angles 90.00, 90.00, 90.00 degrees
Positions (direct):
In  0.500  0.500  0.238
In  0.500  0.500  0.500
In  0.500  0.500  0.762
Pd  0.500  0.500  0.000
La  0.000  0.000  0.894
La  0.000  0.000  0.106
La  0.000  0.000  0.368
La  0.000  0.000  0.632

Results
Its size of the total moment is 0.00 Bohr magnetons per cell. For the energy relative to the elements, the calculation gives -0.569 eV/atom. The space-group type is P4/mmm.

---

VASP calculation (GGA-PBE) on a relaxed Cs12Tl3Hg5 crystal.

Cell lengths 19.801, 19.801, 19.801 Å; angles 109.47, 109.47, 109.47 degrees
Site moments in Bohr magnetons follow the coordinates.
Positions (direct):
Cs  0.725  0.129  0.051  0.00
Cs  0.327  0.551  0.422  0.00
Cs  0.949  0.371  0.275  0.00
Cs  0.551  0.225  0.129  0.00
Cs  0.596  0.725  0.673  0.00
Cs  0.949  0.578  0.173  0.00
Cs  0.327  0.775  0.404  0.00
Cs  0.078  0.904  0.129  0.00
Cs  0.578  0.949  0.673  0.00
Cs  0.725  0.596  0.173  0.00
Cs  0.775  0.449  0.371  0.00
Cs  0.827  0.922  0.051  0.00
Cs  0.129  0.725  0.551  0.00
Cs  0.371  0.422  0.096  0.00
Cs  0.096  0.922  0.371  0.00
Cs  0.404  0.129  0.578  0.00
Cs  0.096  0.173  0.225  0.00
Cs  0.449  0.673  0.078  0.00
Cs  0.827  0.904  0.275  0.00
Cs  0.129  0.404  0.078  0.00
Cs  0.371  0.949  0.775  0.00
Cs  0.578  0.629  0.404  0.00
Cs  0.922  0.827  0.551  0.00
Cs  0.775  0.327  0.904  0.00
Cs  0.422  0.371  0.596  0.00
Cs  0.078  0.173  0.449  0.00
Cs  0.225  0.673  0.096  0.00
Cs  0.173  0.096  0.725  0.00
Cs  0.629  0.051  0.225  0.00
Cs  0.871  0.596  0.922  0.00
Cs  0.551  0.327  0.922  0.00
Cs  0.596  0.871  0.422  0.00
Cs  0.904  0.827  0.775  0.00
Cs  0.904  0.078  0.629  0.00
Cs  0.871  0.275  0.449  0.00
Cs  0.173  0.078  0.949  0.00
Cs  0.629  0.578  0.904  0.00
Cs  0.422  0.051  0.327  0.00
Cs  0.275  0.404  0.827  0.00
Cs  0.225  0.551  0.629  0.00
Cs  0.922  0.096  0.871  0.00
Cs  0.673  0.225  0.596  0.00
Cs  0.449  0.775  0.871  0.00
Cs  0.051  0.422  0.827  0.00
Cs  0.404  0.275  0.327  0.00
Cs  0.051  0.629  0.725  0.00
Cs  0.673  0.449  0.578  0.00
Cs  0.275  0.871  0.949  0.00
Tl  0.750  0.375  0.125  0.07
Tl  0.875  0.750  0.125  0.07
Tl  0.375  0.750  0.625  0.07
Tl  0.250  0.125  0.375  0.07
Tl  0.875  0.125  0.250  0.07
Tl  0.375  0.625  0.250  0.07
Tl  0.625  0.375  0.750  0.07
Tl  0.125  0.875  0.750  0.07
Tl  0.750  0.875  0.625  0.07
Tl  0.625  0.250  0.375  0.07
Tl  0.125  0.250  0.875  0.07
Tl  0.250  0.625  0.875  0.07
Hg  0.125  0.375  0.250  -0.01
Hg  0.000  0.500  0.000  -0.02
Hg  0.000  0.000  0.000  -0.02
Hg  0.375  0.250  0.125  -0.01
Hg  0.500  0.000  0.500  -0.02
Hg  0.500  0.500  0.000  -0.02
Hg  0.125  0.750  0.375  -0.01
Hg  0.750  0.125  0.875  -0.01
Hg  0.750  0.625  0.375  -0.01
Hg  0.375  0.125  0.750  -0.01
Hg  0.625  0.875  0.250  -0.01
Hg  0.500  0.500  0.500  -0.02
Hg  0.500  0.000  0.000  -0.02
Hg  0.000  0.000  0.500  -0.02
Hg  0.250  0.375  0.625  -0.01
Hg  0.250  0.875  0.125  -0.01
Hg  0.000  0.500  0.500  -0.02
Hg  0.875  0.250  0.625  -0.01
Hg  0.625  0.750  0.875  -0.01
Hg  0.875  0.625  0.750  -0.01

Results
Its size of the total moment is 2.08 Bohr magnetons per cell. For the energy relative to the elements, the calculation gives -0.003 eV/atom. The space-group type is Ia-3d.